1.
A plane-wave DFT calculation with PBE was carried out for Pr2CuBPt6 after structural relaxation. Values from VASP.

Results
For the energy of formation from the pure elements, the calculation gives -0.78 eV/atom.

Cell and atoms, written as Quantum ESPRESSO input:
```
&SYSTEM
  ibrav = 0, nat = 10, ntyp = 4
/
ATOMIC_SPECIES
Pr 140.91 Pr.upf
Cu 63.55 Cu.upf
B 10.81 B.upf
Pt 195.08 Pt.upf
CELL_PARAMETERS angstrom
2.827 1.632 6.676
-2.827 1.632 6.676
0.000 -3.264 6.676
ATOMIC_POSITIONS crystal
Pr 0.209 0.209 0.209
Pr 0.791 0.791 0.791
Cu 0.500 0.500 0.500
B 0.000 0.000 0.000
Pt 0.236 0.236 0.721
Pt 0.236 0.721 0.236
Pt 0.279 0.764 0.764
Pt 0.721 0.236 0.236
Pt 0.764 0.279 0.764
Pt 0.764 0.764 0.279
```

---

2.
A plane-wave DFT calculation with PBE was carried out for Li6Sn3Ge after structural relaxation. Values from VASP.

Results
For the energy of formation from the pure elements, the calculation gives -0.29 eV/atom.

Cell and atoms, written as Quantum ESPRESSO input:
```
&SYSTEM
  ibrav = 0, nat = 20, ntyp = 3
/
ATOMIC_SPECIES
Li 6.94 Li.upf
Sn 118.71 Sn.upf
Ge 72.64 Ge.upf
CELL_PARAMETERS angstrom
8.494 0.000 0.000
0.000 4.447 0.000
-0.533 0.000 10.541
ATOMIC_POSITIONS crystal
Li 0.027 0.250 0.183
Li 0.089 0.750 0.575
Li 0.104 0.250 0.945
Li 0.237 0.250 0.430
Li 0.391 0.750 0.314
Li 0.468 0.250 0.120
Li 0.532 0.750 0.880
Li 0.609 0.250 0.686
Li 0.763 0.750 0.570
Li 0.896 0.750 0.055
Li 0.911 0.250 0.425
Li 0.973 0.750 0.817
Sn 0.224 0.750 0.083
Sn 0.269 0.250 0.737
Sn 0.419 0.750 0.591
Sn 0.581 0.250 0.409
Sn 0.731 0.750 0.263
Sn 0.776 0.250 0.917
Ge 0.062 0.750 0.318
Ge 0.938 0.250 0.682
```

---

3.
A plane-wave DFT calculation with PBE was carried out for Sc2BiBr after structural relaxation. Values from VASP.

Results
Its raw formation energy is -0.31 eV/atom.

Cell and atoms, written as Quantum ESPRESSO input:
```
&SYSTEM
  ibrav = 0, nat = 4, ntyp = 3
/
ATOMIC_SPECIES
Sc 44.96 Sc.upf
Bi 208.98 Bi.upf
Br 79.90 Br.upf
CELL_PARAMETERS angstrom
1.730 0.999 10.185
-1.730 0.999 10.185
0.000 -1.998 10.185
ATOMIC_POSITIONS crystal
Sc 0.096 0.096 0.096
Sc 0.904 0.904 0.904
Bi 0.000 0.000 0.000
Br 0.500 0.500 0.500
```

---

4.
A plane-wave DFT calculation with PBE was carried out for In2SbSe after structural relaxation. Values from VASP.

Results
Its raw formation energy is 0.02 eV/atom.

Cell and atoms, written as Quantum ESPRESSO input:
```
&SYSTEM
  ibrav = 0, nat = 4, ntyp = 3
/
ATOMIC_SPECIES
In 114.82 In.upf
Sb 121.76 Sb.upf
Se 78.96 Se.upf
CELL_PARAMETERS angstrom
-2.180 2.180 5.571
2.180 -2.180 5.571
2.180 2.180 -5.571
ATOMIC_POSITIONS crystal
In 0.000 0.000 0.000
In 0.750 0.250 0.500
Sb 0.250 0.750 0.500
Se 0.500 0.500 0.000
```